Below is a relaxed MgZnF2 crystal, with properties calculated at the GGA-PBE level.

```
data_MgZnF2
_chemical_formula_sum 'Mg1 Zn1 F2'
_cell_length_a 8.683
_cell_length_b 8.683
_cell_length_c 8.683
_cell_angle_alpha 20.13
_cell_angle_beta 20.13
_cell_angle_gamma 20.13
_space_group_name_H-M_alt 'P 1'
_space_group_IT_number 1
loop_
_space_group_symop_operation_xyz
'x,y,z'
loop_
_atom_site_label
_atom_site_fract_x
_atom_site_fract_y
_atom_site_fract_z
F1 0.129 0.129 0.129
F2 0.871 0.871 0.871
Mg1 0.500 0.500 0.500
Zn1 0.000 0.000 0.000
```

Magnetization = 0.00 μB per formula unit
Raw formation energy = -2.40 eV per atom
Volume = 16.961 Å³ per atom
Fermi-level density of states = 0.5 states/eV/f.u.
E above lowest polymorph = 0.00 eV per formula unit

Below is a relaxed MgZn3F crystal, with properties calculated at the GGA-PBE level.

```
data_MgZn3F
_chemical_formula_sum 'Mg1 Zn3 F1'
_cell_length_a 4.507
_cell_length_b 4.507
_cell_length_c 4.507
_cell_angle_alpha 90.00
_cell_angle_beta 90.00
_cell_angle_gamma 90.00
_space_group_name_H-M_alt 'P 1'
_space_group_IT_number 1
loop_
_space_group_symop_operation_xyz
'x,y,z'
loop_
_atom_site_label
_atom_site_fract_x
_atom_site_fract_y
_atom_site_fract_z
Zn1 0.500 0.000 0.000
Zn2 0.000 0.500 0.000
Zn3 0.000 0.000 0.500
F1 0.000 0.000 0.000
Mg1 0.500 0.500 0.500
```

Magnetization = 0.00 μB per formula unit
Raw formation energy = -0.19 eV per atom
Volume = 18.305 Å³ per atom
Fermi-level density of states = 1.9 states/eV/f.u.
E above lowest polymorph = 0.00 eV per formula unit

Below is a relaxed MgZr2ZnF crystal, with properties calculated at the GGA-PBE level.

```
data_MgZr2ZnF
_chemical_formula_sum 'Mg1 Zr2 Zn1 F1'
_cell_length_a 5.195
_cell_length_b 4.523
_cell_length_c 5.195
_cell_angle_alpha 90.00
_cell_angle_beta 90.00
_cell_angle_gamma 90.00
_space_group_name_H-M_alt 'P 1'
_space_group_IT_number 1
loop_
_space_group_symop_operation_xyz
'x,y,z'
loop_
_atom_site_label
_atom_site_fract_x
_atom_site_fract_y
_atom_site_fract_z
Mg1 0.000 0.000 0.000
Zr1 0.000 0.000 0.500
Zr2 0.500 0.000 0.000
F1 0.500 0.500 0.500
Zn1 0.000 0.500 0.000
```

Magnetization = 0.04 μB per formula unit
Raw formation energy = 0.80 eV per atom
Volume = 24.407 Å³ per atom
Fermi-level density of states = 6.0 states/eV/f.u.

Below is a relaxed MgZrF6 crystal, with properties calculated at the GGA-PBE level.

```
data_MgZrF6
_chemical_formula_sum 'Mg1 Zr1 F6'
_cell_length_a 5.721
_cell_length_b 5.721
_cell_length_c 5.722
_cell_angle_alpha 59.93
_cell_angle_beta 59.93
_cell_angle_gamma 59.92
_space_group_name_H-M_alt 'P 1'
_space_group_IT_number 1
loop_
_space_group_symop_operation_xyz
'x,y,z'
loop_
_atom_site_label
_atom_site_fract_x
_atom_site_fract_y
_atom_site_fract_z
F1 0.248 0.752 0.752
F2 0.248 0.752 0.248
F3 0.752 0.248 0.248
F4 0.752 0.752 0.248
F5 0.248 0.248 0.752
F6 0.752 0.248 0.752
Zr1 0.500 0.500 0.500
Mg1 0.000 0.000 0.000
```

Magnetization = 0.00 μB per formula unit
Raw formation energy = -3.67 eV per atom
Volume = 16.525 Å³ per atom
Fermi-level density of states = 0.0 states/eV/f.u.

Below is a relaxed Mg2Zr2F crystal, with properties calculated at the GGA-PBE level.

```
data_Mg2Zr2F
_chemical_formula_sum 'Mg2 Zr2 F1'
_cell_length_a 3.828
_cell_length_b 3.828
_cell_length_c 8.830
_cell_angle_alpha 77.48
_cell_angle_beta 77.48
_cell_angle_gamma 90.00
_space_group_name_H-M_alt 'P 1'
_space_group_IT_number 1
loop_
_space_group_symop_operation_xyz
'x,y,z'
loop_
_atom_site_label
_atom_site_fract_x
_atom_site_fract_y
_atom_site_fract_z
Zr1 0.250 0.750 0.500
Zr2 0.750 0.250 0.500
F1 0.000 0.000 0.000
Mg1 0.595 0.595 0.811
Mg2 0.405 0.405 0.189
```

Magnetization = 0.00 μB per formula unit
Raw formation energy = -0.06 eV per atom
Volume = 24.630 Å³ per atom
Fermi-level density of states = 3.4 states/eV/f.u.
E above lowest polymorph = 2.24 eV per formula unit

Below is a relaxed MgZr2F11 crystal, with properties calculated at the GGA-PBE level.

```
data_MgZr2F11
_chemical_formula_sum 'Mg2 Zr4 F22'
_cell_length_a 8.135
_cell_length_b 8.236
_cell_length_c 8.236
_cell_angle_alpha 73.00
_cell_angle_beta 60.41
_cell_angle_gamma 60.41
_space_group_name_H-M_alt 'P 1'
_space_group_IT_number 1
loop_
_space_group_symop_operation_xyz
'x,y,z'
loop_
_atom_site_label
_atom_site_fract_x
_atom_site_fract_y
_atom_site_fract_z
F1 0.553 0.008 0.731
F2 0.061 0.046 0.255
F3 0.000 0.000 0.000
F4 0.362 0.745 0.954
F5 0.447 0.992 0.269
F6 0.853 0.783 0.217
F7 0.147 0.217 0.783
F8 0.208 0.508 0.231
F9 0.638 0.255 0.046
F10 0.939 0.954 0.745
F11 0.439 0.245 0.454
F12 0.947 0.769 0.492
F13 0.708 0.731 0.008
F14 0.647 0.283 0.717
F15 0.353 0.717 0.283
F16 0.792 0.492 0.769
F17 0.138 0.546 0.755
F18 0.500 0.500 0.500
F19 0.053 0.231 0.508
F20 0.292 0.269 0.992
F21 0.561 0.755 0.546
F22 0.862 0.454 0.245
Zr1 0.891 0.202 0.798
Zr2 0.609 0.702 0.298
Zr3 0.109 0.798 0.202
Zr4 0.391 0.298 0.702
Mg1 0.250 0.250 0.250
Mg2 0.750 0.750 0.750
```

Magnetization = 1.11 μB per formula unit
Raw formation energy = -3.30 eV per atom
Volume = 14.870 Å³ per atom
Fermi-level density of states = 9.4 states/eV/f.u.

Below is a relaxed MgZrF crystal, with properties calculated at the GGA-PBE level.

```
data_MgZrF
_chemical_formula_sum 'Mg2 Zr2 F2'
_cell_length_a 3.021
_cell_length_b 3.021
_cell_length_c 15.075
_cell_angle_alpha 90.00
_cell_angle_beta 90.00
_cell_angle_gamma 120.00
_space_group_name_H-M_alt 'P 1'
_space_group_IT_number 1
loop_
_space_group_symop_operation_xyz
'x,y,z'
loop_
_atom_site_label
_atom_site_fract_x
_atom_site_fract_y
_atom_site_fract_z
Mg1 0.333 0.667 0.449
Mg2 0.667 0.333 0.949
Zr1 0.667 0.333 0.269
Zr2 0.667 0.333 0.629
F1 0.333 0.667 0.025
F2 0.333 0.667 0.873
```

Magnetization = 0.00 μB per formula unit
Raw formation energy = -1.25 eV per atom
Volume = 19.854 Å³ per atom
Fermi-level density of states = 1.6 states/eV/f.u.

Below is a relaxed MgZr3F crystal, with properties calculated at the GGA-PBE level.

```
data_MgZr3F
_chemical_formula_sum 'Mg1 Zr3 F1'
_cell_length_a 4.607
_cell_length_b 4.607
_cell_length_c 4.607
_cell_angle_alpha 90.00
_cell_angle_beta 90.00
_cell_angle_gamma 90.00
_space_group_name_H-M_alt 'P 1'
_space_group_IT_number 1
loop_
_space_group_symop_operation_xyz
'x,y,z'
loop_
_atom_site_label
_atom_site_fract_x
_atom_site_fract_y
_atom_site_fract_z
F1 0.000 0.000 0.000
Zr1 0.500 0.000 0.000
Zr2 0.000 0.500 0.000
Zr3 0.000 0.000 0.500
Mg1 0.500 0.500 0.500
```

Magnetization = 0.00 μB per formula unit
Raw formation energy = -0.54 eV per atom
Volume = 19.557 Å³ per atom
Fermi-level density of states = 4.2 states/eV/f.u.
E above lowest polymorph = 0.00 eV per formula unit

Below is a relaxed Mg2Zr2F crystal, with properties calculated at the GGA-PBE level.

```
data_Mg2Zr2F
_chemical_formula_sum 'Mg4 Zr4 F2'
_cell_length_a 5.864
_cell_length_b 5.864
_cell_length_c 5.960
_cell_angle_alpha 90.00
_cell_angle_beta 90.00
_cell_angle_gamma 90.00
_space_group_name_H-M_alt 'P 1'
_space_group_IT_number 1
loop_
_space_group_symop_operation_xyz
'x,y,z'
loop_
_atom_site_label
_atom_site_fract_x
_atom_site_fract_y
_atom_site_fract_z
Zr1 0.840 0.340 0.500
Zr2 0.160 0.660 0.500
Zr3 0.340 0.160 0.500
Zr4 0.660 0.840 0.500
Mg1 0.326 0.826 0.000
Mg2 0.826 0.674 0.000
Mg3 0.174 0.326 0.000
Mg4 0.674 0.174 0.000
F1 0.000 0.000 0.000
F2 0.500 0.500 0.000
```

Magnetization = 0.00 μB per formula unit
Raw formation energy = -0.51 eV per atom
Volume = 20.491 Å³ per atom
Fermi-level density of states = 2.8 states/eV/f.u.
E above lowest polymorph = 0.00 eV per formula unit

Below is a relaxed Mg2ZrF4 crystal, with properties calculated at the GGA-PBE level.

```
data_Mg2ZrF4
_chemical_formula_sum 'Mg2 Zr1 F4'
_cell_length_a 4.202
_cell_length_b 4.202
_cell_length_c 9.600
_cell_angle_alpha 77.36
_cell_angle_beta 77.36
_cell_angle_gamma 90.00
_space_group_name_H-M_alt 'P 1'
_space_group_IT_number 1
loop_
_space_group_symop_operation_xyz
'x,y,z'
loop_
_atom_site_label
_atom_site_fract_x
_atom_site_fract_y
_atom_site_fract_z
F1 0.500 0.000 0.000
F2 0.113 0.113 0.774
F3 0.000 0.500 0.000
F4 0.887 0.887 0.226
Zr1 0.000 0.000 0.000
Mg1 0.222 0.222 0.556
Mg2 0.778 0.778 0.444
```

Magnetization = 0.63 μB per formula unit
Raw formation energy = -2.49 eV per atom
Volume = 23.024 Å³ per atom
Fermi-level density of states = 3.1 states/eV/f.u.